(1)
# BeSiRuBr2 | Alexandria via LeMat-Bulk | PBEsol | relaxed
# Uncorrected formation energy   1.176 eV/atom
data_BeSiRuBr2
_chemical_formula_sum 'Be1 Si1 Ru1 Br2'
_cell_length_a 5.118
_cell_length_b 5.118
_cell_length_c 4.131
_cell_angle_alpha 90.00
_cell_angle_beta 90.00
_cell_angle_gamma 90.00
_space_group_name_H-M_alt 'P 4/m m m'
_space_group_IT_number 123
_space_group_name_Hall '-P 4 2'
loop_
_atom_site_label
_atom_site_fract_x
_atom_site_fract_y
_atom_site_fract_z
Be1 0.000 0.000 0.000
Si1 0.000 0.000 0.500
Ru1 0.500 0.500 0.000
Br1 0.000 0.500 0.500

=====

(2)
# K2RuPb | Alexandria via LeMat-Bulk | PBEsol | relaxed
# Formation enthalpy at 0 K   0.8016 eV per atom
data_K2RuPb
_chemical_formula_sum 'K8 Ru4 Pb4'
_cell_length_a 7.303
_cell_length_b 7.303
_cell_length_c 7.303
_cell_angle_alpha 90.00
_cell_angle_beta 90.00
_cell_angle_gamma 90.00
_space_group_name_H-M_alt 'F -4 3 m'
_space_group_IT_number 216
_space_group_name_Hall 'F -4 2 3'
loop_
_atom_site_label
_atom_site_fract_x
_atom_site_fract_y
_atom_site_fract_z
K1 0.000 0.000 0.000
K2 0.250 0.250 0.250
Ru1 0.000 0.000 0.500
Pb1 0.250 0.250 0.750

=====

(3)
# LaIn2Sb | Alexandria via LeMat-Bulk | PBEsol | relaxed
# Uncorrected formation energy   -0.446 eV/atom
data_LaIn2Sb
_chemical_formula_sum 'La1 In2 Sb1'
_cell_length_a 3.265
_cell_length_b 5.358
_cell_length_c 6.142
_cell_angle_alpha 90.00
_cell_angle_beta 90.00
_cell_angle_gamma 90.00
_space_group_name_H-M_alt 'P m m 2'
_space_group_IT_number 25
_space_group_name_Hall 'P 2 -2'
loop_
_atom_site_label
_atom_site_fract_x
_atom_site_fract_y
_atom_site_fract_z
La1 0.000 0.000 0.000
In1 0.500 0.000 0.500
In2 0.500 0.500 0.728
Sb1 0.500 0.500 0.212

=====

(4)
# YInRe | Alexandria via LeMat-Bulk | PBEsol | relaxed
# Formation enthalpy at 0 K   0.2642 eV per atom
data_YInRe
_chemical_formula_sum 'Y1 In1 Re1'
_cell_length_a 4.8948
_cell_length_b 4.8948
_cell_length_c 2.9182
_cell_angle_alpha 90.00
_cell_angle_beta 90.00
_cell_angle_gamma 120.00
_space_group_name_H-M_alt 'P 3 m 1'
_space_group_IT_number 156
_space_group_name_Hall 'P 3 -2"'
loop_
_atom_site_label
_atom_site_fract_x
_atom_site_fract_y
_atom_site_fract_z
Y1 0.0000 0.0000 0.0000
In1 0.3333 0.6667 0.4986
Re1 0.6667 0.3333 0.5032

=====

(5)
# La2CoSb | Alexandria via LeMat-Bulk | PBEsol | relaxed
# Uncorrected formation energy   -0.348 eV/atom
data_La2CoSb
_chemical_formula_sum 'La2 Co1 Sb1'
_cell_length_a 5.041
_cell_length_b 5.041
_cell_length_c 4.029
_cell_angle_alpha 90.00
_cell_angle_beta 90.00
_cell_angle_gamma 90.00
_space_group_name_H-M_alt 'P 4/m m m'
_space_group_IT_number 123
_space_group_name_Hall '-P 4 2'
loop_
_atom_site_label
_atom_site_fract_x
_atom_site_fract_y
_atom_site_fract_z
La1 0.000 0.500 0.000
Co1 0.000 0.000 0.500
Sb1 0.500 0.500 0.500

=====

(6)
# Ta2CuOs | Alexandria via LeMat-Bulk | PBEsol | relaxed
# Formation enthalpy at 0 K   0.1944 eV per atom
data_Ta2CuOs
_chemical_formula_sum 'Ta6 Cu3 Os3'
_cell_length_a 2.8351
_cell_length_b 2.8351
_cell_length_c 26.7327
_cell_angle_alpha 90.00
_cell_angle_beta 90.00
_cell_angle_gamma 120.00
_space_group_name_H-M_alt 'R -3 m'
_space_group_IT_number 166
_space_group_name_Hall '-R 3 2"'
loop_
_atom_site_label
_atom_site_fract_x
_atom_site_fract_y
_atom_site_fract_z
Ta1 0.0000 0.0000 0.2503
Cu1 0.0000 0.0000 0.0000
Os1 0.0000 0.0000 0.5000

=====

(7)
# Sr2CdSi | Alexandria via LeMat-Bulk | PBEsol | relaxed
# Uncorrected formation energy   -0.223 eV/atom
data_Sr2CdSi
_chemical_formula_sum 'Sr4 Cd2 Si2'
_cell_length_a 4.058
_cell_length_b 5.156
_cell_length_c 10.843
_cell_angle_alpha 90.00
_cell_angle_beta 90.00
_cell_angle_gamma 90.00
_space_group_name_H-M_alt 'I m m 2'
_space_group_IT_number 44
_space_group_name_Hall 'I 2 -2'
loop_
_atom_site_label
_atom_site_fract_x
_atom_site_fract_y
_atom_site_fract_z
Sr1 0.000 0.000 0.000
Sr2 0.000 0.500 0.203
Cd1 0.000 0.500 0.787
Si1 0.000 0.000 0.450

=====

(8)
# Ag2PRu | Alexandria via LeMat-Bulk | PBEsol | relaxed
# Formation enthalpy at 0 K   0.4490 eV per atom
data_Ag2PRu
_chemical_formula_sum 'Ag4 P2 Ru2'
_cell_length_a 5.035
_cell_length_b 8.686
_cell_length_c 2.763
_cell_angle_alpha 90.00
_cell_angle_beta 90.00
_cell_angle_gamma 90.00
_space_group_name_H-M_alt 'C m m m'
_space_group_IT_number 65
_space_group_name_Hall '-C 2 2'
loop_
_atom_site_label
_atom_site_fract_x
_atom_site_fract_y
_atom_site_fract_z
Ag1 0.250 0.250 0.000
P1 0.000 0.000 0.500
Ru1 0.000 0.500 0.500

=====

(9)
# Li3Cu4SbO8 | Alexandria via LeMat-Bulk | PBEsol | relaxed
# Uncorrected formation energy   -1.167 eV/atom
data_Li3Cu4SbO8
_chemical_formula_sum 'Li6 Cu8 Sb2 O16'
_cell_length_a 10.739
_cell_length_b 5.804
_cell_length_c 5.734
_cell_angle_alpha 90.00
_cell_angle_beta 119.80
_cell_angle_gamma 90.00
_space_group_name_H-M_alt 'C 1 2/m 1'
_space_group_IT_number 12
_space_group_name_Hall '-C 2y'
loop_
_atom_site_label
_atom_site_fract_x
_atom_site_fract_y
_atom_site_fract_z
Li1 0.000 0.000 0.000
Li2 0.250 0.250 0.500
Cu1 0.000 0.000 0.500
Cu2 0.000 0.500 0.000
Cu3 0.250 0.250 0.000
Sb1 0.000 0.500 0.500
O1 0.025 0.269 0.267
O2 0.205 0.000 0.740
O3 0.216 0.500 0.737

=====

(10)
# CsSbCl6 | Alexandria via LeMat-Bulk | PBEsol | relaxed
# Uncorrected formation energy   -1.083 eV/atom
data_CsSbCl6
_chemical_formula_sum 'Cs4 Sb4 Cl24'
_cell_length_a 12.182
_cell_length_b 6.543
_cell_length_c 12.317
_cell_angle_alpha 90.00
_cell_angle_beta 102.77
_cell_angle_gamma 90.00
_space_group_name_H-M_alt 'C 1 2/c 1'
_space_group_IT_number 15
_space_group_name_Hall '-C 2yc'
loop_
_atom_site_label
_atom_site_fract_x
_atom_site_fract_y
_atom_site_fract_z
Cs1 0.000 0.119 0.250
Sb1 0.250 0.250 0.000
Cl1 0.075 0.373 0.889
Cl2 0.155 0.049 0.542
Cl3 0.212 0.420 0.160

=====

(11)
# MgZn3 | Alexandria via LeMat-Bulk | PBEsol | relaxed
# Formation enthalpy at 0 K   -0.0072 eV per atom
data_MgZn3
_chemical_formula_sum 'Mg1 Zn3'
_cell_length_a 2.872
_cell_length_b 2.872
_cell_length_c 7.586
_cell_angle_alpha 90.00
_cell_angle_beta 90.00
_cell_angle_gamma 90.00
_space_group_name_H-M_alt 'P 4/m m m'
_space_group_IT_number 123
_space_group_name_Hall '-P 4 2'
loop_
_atom_site_label
_atom_site_fract_x
_atom_site_fract_y
_atom_site_fract_z
Mg1 0.000 0.000 0.000
Zn1 0.000 0.000 0.500
Zn2 0.500 0.500 0.270

=====

(12)
# TeRuW | Alexandria via LeMat-Bulk | PBEsol | relaxed
# Uncorrected formation energy   0.596 eV/atom
data_TeRuW
_chemical_formula_sum 'Te2 Ru2 W2'
_cell_length_a 3.017
_cell_length_b 4.023
_cell_length_c 8.199
_cell_angle_alpha 90.00
_cell_angle_beta 90.00
_cell_angle_gamma 90.00
_space_group_name_H-M_alt 'I m m 2'
_space_group_IT_number 44
_space_group_name_Hall 'I 2 -2'
loop_
_atom_site_label
_atom_site_fract_x
_atom_site_fract_y
_atom_site_fract_z
Te1 0.000 0.000 0.000
Ru1 0.000 0.000 0.323
W1 0.000 0.000 0.674

=====

(13)
# MgAlBr2 | Alexandria via LeMat-Bulk | PBEsol | relaxed
# Uncorrected formation energy   -0.331 eV/atom
data_MgAlBr2
_chemical_formula_sum 'Mg2 Al2 Br4'
_cell_length_a 7.143
_cell_length_b 8.644
_cell_length_c 3.571
_cell_angle_alpha 90.00
_cell_angle_beta 118.34
_cell_angle_gamma 90.00
_space_group_name_H-M_alt 'C 1 2/m 1'
_space_group_IT_number 12
_space_group_name_Hall '-C 2y'
loop_
_atom_site_label
_atom_site_fract_x
_atom_site_fract_y
_atom_site_fract_z
Mg1 0.000 0.000 0.000
Al1 0.000 0.500 0.000
Br1 0.250 0.250 0.500

=====

(14)
# MgPAuCl2 | Alexandria via LeMat-Bulk | PBEsol | relaxed
# Uncorrected formation energy   0.137 eV/atom
data_MgPAuCl2
_chemical_formula_sum 'Mg1 P1 Au1 Cl2'
_cell_length_a 4.895
_cell_length_b 4.895
_cell_length_c 4.924
_cell_angle_alpha 90.00
_cell_angle_beta 90.00
_cell_angle_gamma 90.00
_space_group_name_H-M_alt 'P 4/m m m'
_space_group_IT_number 123
_space_group_name_Hall '-P 4 2'
loop_
_atom_site_label
_atom_site_fract_x
_atom_site_fract_y
_atom_site_fract_z
Mg1 0.000 0.000 0.000
P1 0.500 0.500 0.000
Au1 0.500 0.500 0.500
Cl1 0.000 0.500 0.500

=====

(15)
# Sr2YRuW | Alexandria via LeMat-Bulk | PBEsol | relaxed
# Formation enthalpy at 0 K   1.7319 eV per atom
data_Sr2YRuW
_chemical_formula_sum 'Sr2 Y1 Ru1 W1'
_cell_length_a 5.531
_cell_length_b 5.531
_cell_length_c 5.218
_cell_angle_alpha 90.00
_cell_angle_beta 90.00
_cell_angle_gamma 90.00
_space_group_name_H-M_alt 'P 4/m m m'
_space_group_IT_number 123
_space_group_name_Hall '-P 4 2'
loop_
_atom_site_label
_atom_site_fract_x
_atom_site_fract_y
_atom_site_fract_z
Sr1 0.000 0.500 0.000
Y1 0.000 0.000 0.500
Ru1 0.500 0.500 0.500
W1 0.000 0.000 0.000

=====

(16)
# BaTl2Cd | Alexandria via LeMat-Bulk | PBEsol | relaxed
# Formation enthalpy at 0 K   -0.3048 eV per atom
data_BaTl2Cd
_chemical_formula_sum 'Ba3 Tl6 Cd3'
_cell_length_a 4.9359
_cell_length_b 4.9359
_cell_length_c 17.8573
_cell_angle_alpha 90.00
_cell_angle_beta 90.00
_cell_angle_gamma 120.00
_space_group_name_H-M_alt 'R -3 m'
_space_group_IT_number 166
_space_group_name_Hall '-R 3 2"'
loop_
_atom_site_label
_atom_site_fract_x
_atom_site_fract_y
_atom_site_fract_z
Ba1 0.0000 0.0000 0.0000
Tl1 0.0000 0.0000 0.2207
Cd1 0.0000 0.0000 0.5000

=====

(17)
# BeCrO4 | Alexandria via LeMat-Bulk | PBEsol | relaxed
# Uncorrected formation energy   -1.935 eV/atom
data_BeCrO4
_chemical_formula_sum 'Be8 Cr8 O32'
_cell_length_a 10.732
_cell_length_b 9.250
_cell_length_c 5.656
_cell_angle_alpha 90.00
_cell_angle_beta 106.25
_cell_angle_gamma 90.00
_space_group_name_H-M_alt 'C 1 2/m 1'
_space_group_IT_number 12
_space_group_name_Hall '-C 2y'
loop_
_atom_site_label
_atom_site_fract_x
_atom_site_fract_y
_atom_site_fract_z
Be1 0.000 0.247 0.000
Be2 0.117 0.000 0.292
Cr1 0.000 0.235 0.500
Cr2 0.219 0.500 0.117
O1 0.022 0.144 0.242
O2 0.122 0.336 0.598
O3 0.127 0.356 0.068
O4 0.187 0.000 0.593
O5 0.193 0.000 0.078

=====

(18)
# NiPbW | Alexandria via LeMat-Bulk | PBEsol | relaxed
# Formation enthalpy at 0 K   0.6179 eV per atom
data_NiPbW
_chemical_formula_sum 'Ni4 Pb4 W4'
_cell_length_a 3.973
_cell_length_b 4.438
_cell_length_c 11.402
_cell_angle_alpha 90.00
_cell_angle_beta 90.00
_cell_angle_gamma 90.00
_space_group_name_H-M_alt 'F m m 2'
_space_group_IT_number 42
_space_group_name_Hall 'F 2 -2'
loop_
_atom_site_label
_atom_site_fract_x
_atom_site_fract_y
_atom_site_fract_z
Ni1 0.000 0.000 0.000
Pb1 0.000 0.000 0.674
W1 0.000 0.000 0.371

=====

(19)
# BaZr2 | Alexandria via LeMat-Bulk | PBEsol | relaxed
# Formation enthalpy at 0 K   0.4437 eV per atom
data_BaZr2
_chemical_formula_sum 'Ba1 Zr2'
_cell_length_a 3.3440
_cell_length_b 3.3440
_cell_length_c 8.6109
_cell_angle_alpha 90.00
_cell_angle_beta 90.00
_cell_angle_gamma 120.00
_space_group_name_H-M_alt 'P -3 m 1'
_space_group_IT_number 164
_space_group_name_Hall '-P 3 2"'
loop_
_atom_site_label
_atom_site_fract_x
_atom_site_fract_y
_atom_site_fract_z
Ba1 0.0000 0.0000 0.0000
Zr1 0.3333 0.6667 0.6361

=====

(20)
# CrNi | Alexandria via LeMat-Bulk | PBEsol | relaxed
# Formation enthalpy at 0 K   1.2963 eV per atom
data_CrNi
_chemical_formula_sum 'Cr2 Ni2'
_cell_length_a 3.8838
_cell_length_b 3.8838
_cell_length_c 4.6399
_cell_angle_alpha 90.00
_cell_angle_beta 90.00
_cell_angle_gamma 120.00
_space_group_name_H-M_alt 'P 63/m m c'
_space_group_IT_number 194
_space_group_name_Hall '-P 6c 2c'
loop_
_atom_site_label
_atom_site_fract_x
_atom_site_fract_y
_atom_site_fract_z
Cr1 0.3333 0.6667 0.2500
Ni1 0.3333 0.6667 0.7500